# Pm2NdMg5 (GGA-PBE, optimized geometry)
data_Pm2NdMg5
_chemical_formula_sum 'Pm4 Nd2 Mg10'
_cell_length_a 5.290
_cell_length_b 5.290
_cell_length_c 15.680
_cell_angle_alpha 90.00
_cell_angle_beta 90.00
_cell_angle_gamma 90.00
_symmetry_space_group_name_H-M 'P 1'
_symmetry_Int_Tables_number 1
loop_
_symmetry_equiv_pos_as_xyz
'x,y,z'
loop_
_atom_site_label
_atom_site_fract_x
_atom_site_fract_y
_atom_site_fract_z
Pm1 0.000 0.000 0.239
Pm2 0.000 0.000 0.761
Pm3 0.500 0.500 0.261
Pm4 0.500 0.500 0.739
Nd1 0.000 0.000 0.500
Nd2 0.500 0.500 0.000
Mg1 0.000 0.000 0.000
Mg2 0.000 0.500 0.119
Mg3 0.000 0.500 0.381
Mg4 0.000 0.500 0.619
Mg5 0.000 0.500 0.881
Mg6 0.500 0.000 0.119
Mg7 0.500 0.000 0.381
Mg8 0.500 0.000 0.619
Mg9 0.500 0.000 0.881
Mg10 0.500 0.500 0.500
# DFT total energy: -2.878 eV/atom
# Magnetization: 0.00 μB/cell
# SG: I4/mmm (139)
# Calculated volume: 439 Å³ per cell
# Formation enthalpy at 0 K: -0.097 eV/atom